The following is a GGA+U calculation of a geometry-optimized Ba3AlFe2O9 structure, from the Alexandria database.

Structure (extended XYZ):
```
15
Lattice="5.678 0.000 0.000 -2.839 4.918 0.000 0.000 0.000 6.976" Properties=species:S:1:pos:R:3 pbc="T T T"
Ba 0.000 0.000 0.000
Ba 0.000 3.278 4.658
Ba 2.839 1.639 2.318
Al 0.000 0.000 3.488
Fe 0.000 3.278 1.199
Fe 2.839 1.639 5.777
O -1.420 2.459 0.000
O 0.000 1.606 2.358
O -1.448 4.115 2.358
O 1.391 0.803 4.618
O 2.839 0.000 0.000
O 1.420 2.459 0.000
O 1.448 4.115 2.358
O 4.288 0.803 4.618
O 2.839 3.312 4.618
```

As for the final energy: -96.0 eV for the cell shown. The theoretical density comes out at 5.9 Mg/m³.